# 1
Entry from Alexandria via LeMat-Bulk: an optimized crystal structure of Na2PuIrS4 (PBE).

Computed properties:
E (eV/atom): -6.33
E_form (uncorrected) (eV/atom): -1.033
Crystal system: monoclinic

Cell and atoms, written as CIF:
```
data_Na2PuIrS4
_cell_length_a 6.185
_cell_length_b 3.849
_cell_length_c 7.169
_cell_angle_alpha 90.00
_cell_angle_beta 108.54
_cell_angle_gamma 90.00
_space_group_name_H-M_alt 'P 1 2/m 1'
_space_group_IT_number 10
loop_
_space_group_symop_operation_xyz
'x,y,z'
'-x,-y,-z'
'-x,y,-z'
'x,-y,z'
loop_
_atom_site_label
_atom_site_fract_x
_atom_site_fract_y
_atom_site_fract_z
Na1 0.000 0.000 0.000
Na2 0.500 0.500 0.000
Pu1 0.000 0.500 0.500
Ir1 0.500 0.000 0.500
S1 0.266 0.000 0.726
S2 0.300 0.500 0.299
```

---

# 2
Entry from Alexandria via LeMat-Bulk: an optimized crystal structure of RbNa3Ir (PBE).

Computed properties:
E (eV/atom): -1.30
Polymorph energy (0 for the lowest one) (kJ/mol of atoms): 91.1
Crystal system: cubic

Cell and atoms, written as CIF:
```
data_RbNa3Ir
_cell_length_a 5.524
_cell_length_b 5.524
_cell_length_c 5.524
_cell_angle_alpha 90.00
_cell_angle_beta 90.00
_cell_angle_gamma 90.00
_space_group_name_H-M_alt 'P m -3 m'
_space_group_IT_number 221
_space_group_name_Hall '-P 4 2 3'
loop_
_atom_site_label
_atom_site_fract_x
_atom_site_fract_y
_atom_site_fract_z
Rb1 0.000 0.000 0.000
Na1 0.000 0.000 0.500
Ir1 0.500 0.500 0.500
```